First-principles (PBE) data for a geometry-optimized Sr2Li2ZnAg structure, as listed in Alexandria.

Values from the calculation:
The final energy comes out at -2.02 eV per atom. Its energy of formation from the pure elements is -132.9 meV/atom. Its symmetry is Ibam. For the total magnetic moment, the calculation gives 0.00 μB/f.u. The value obtained for the density of states at the Fermi level is 0.58 states/eV per atom.

Unit cell a=8.8914 b=8.8914 c=8.8914 alpha=134.66 beta=65.68 gamma=135.15
With the nearest neighbours (Å) after each atom.
Sites, in units of the cell vectors:
Sr  0.1567  0.2485  0.4052  2 Zn 3.36, 2 Ag 3.37, 5 Li 3.57-3.62
Sr  0.3433  0.7485  0.0918  2 Zn 3.36, 2 Ag 3.37, 5 Li 3.57-3.62
Sr  0.6567  0.2515  0.9082  2 Zn 3.36, 2 Ag 3.37, 5 Li 3.57-3.62
Sr  0.8433  0.7515  0.5948  2 Zn 3.36, 2 Ag 3.37, 5 Li 3.57-3.62
Li  0.0826  0.7506  0.8333  2 Zn 2.71, 2 Ag 2.71
Li  0.4174  0.2506  0.6680  2 Zn 2.71, 2 Ag 2.71
Li  0.5826  0.7494  0.3320  2 Zn 2.71, 2 Ag 2.71
Li  0.9174  0.2494  0.1667  2 Zn 2.71, 2 Ag 2.71
Zn  0.2500  0.2500  0.0000  4 Li 2.71
Zn  0.7500  0.7500  0.0000  4 Li 2.71
Ag  0.2500  0.7500  0.5000  4 Li 2.71
Ag  0.7500  0.2500  0.5000  4 Li 2.71